[1]
A plane-wave DFT calculation with GGA-PBE was carried out for a relaxed structure of K2Ge4Pd5.

Summary:
Density   6.4 g/cm3
Symmetry   No. 69
Energy relative to the elements   -0.40 eV per atom

Unit cell a=8.950 b=7.737 c=6.192 alpha=79.11 beta=58.10 gamma=42.80
Positions (direct):
K (0.133, 0.133, 0.867)
K (0.867, 0.867, 0.133)
Ge (0.213, 0.531, 0.469)
Ge (0.469, 0.787, 0.213)
Ge (0.531, 0.213, 0.787)
Ge (0.787, 0.469, 0.531)
Pd (0.000, 0.000, 0.500)
Pd (0.250, 0.250, 0.250)
Pd (0.500, 0.500, 0.000)
Pd (0.500, 0.500, 0.500)
Pd (0.750, 0.750, 0.750)



[2]
A plane-wave DFT calculation with GGA-PBE was carried out for a relaxed structure of KGePd2.

Summary:
Density   5.8 g/cm3
Symmetry   No. 129
Energy relative to the elements   -0.13 eV per atom

Unit cell a=4.424 b=4.424 c=9.541 alpha=90.00 beta=90.00 gamma=90.00
Positions (direct):
K (0.250, 0.250, 0.209)
K (0.750, 0.750, 0.791)
Ge (0.250, 0.250, 0.628)
Ge (0.750, 0.750, 0.372)
Pd (0.250, 0.250, 0.879)
Pd (0.250, 0.750, 0.500)
Pd (0.750, 0.250, 0.500)
Pd (0.750, 0.750, 0.121)



[3]
A plane-wave DFT calculation with GGA-PBE was carried out for a relaxed structure of KGe6Pd12.

Summary:
Density   8.6 g/cm3
Symmetry   No. 166
Energy relative to the elements   -0.45 eV per atom

Unit cell a=7.291 b=7.291 c=7.291 alpha=105.21 beta=105.21 gamma=105.21
Positions (direct):
K (0.000, 0.000, 0.000)
Ge (0.247, 0.247, 0.683)
Ge (0.247, 0.683, 0.247)
Ge (0.317, 0.753, 0.753)
Ge (0.683, 0.247, 0.247)
Ge (0.753, 0.317, 0.753)
Ge (0.753, 0.753, 0.317)
Pd (0.127, 0.500, 0.873)
Pd (0.127, 0.873, 0.500)
Pd (0.174, 0.441, 0.441)
Pd (0.441, 0.174, 0.441)
Pd (0.441, 0.441, 0.174)
Pd (0.500, 0.127, 0.873)
Pd (0.500, 0.873, 0.127)
Pd (0.559, 0.559, 0.826)
Pd (0.559, 0.826, 0.559)
Pd (0.826, 0.559, 0.559)
Pd (0.873, 0.127, 0.500)
Pd (0.873, 0.500, 0.127)



[4]
A plane-wave DFT calculation with GGA-PBE was carried out for a relaxed structure of KGe3Pd5.

Summary:
Density   7.6 g/cm3
Symmetry   No. 63
Energy relative to the elements   -0.45 eV per atom

Unit cell a=6.924 b=6.924 c=13.064 alpha=90.00 beta=90.00 gamma=146.65
Positions (direct):
K (0.165, 0.835, 0.750)
K (0.835, 0.165, 0.250)
Ge (0.103, 0.897, 0.250)
Ge (0.381, 0.619, 0.039)
Ge (0.381, 0.619, 0.461)
Ge (0.619, 0.381, 0.539)
Ge (0.619, 0.381, 0.961)
Ge (0.897, 0.103, 0.750)
Pd (0.000, 0.000, 0.000)
Pd (0.000, 0.000, 0.500)
Pd (0.198, 0.802, 0.067)
Pd (0.198, 0.802, 0.433)
Pd (0.447, 0.553, 0.643)
Pd (0.447, 0.553, 0.857)
Pd (0.553, 0.447, 0.143)
Pd (0.553, 0.447, 0.357)
Pd (0.802, 0.198, 0.567)
Pd (0.802, 0.198, 0.933)